Below is a geometry-optimized CrSi2O6 structure, with properties calculated at the PBE with a Hubbard U level.

Output
Final energy: -7.64 eV/atom
Density: 3.2 g/cm3
Energy relative to the lowest polymorph listed for this composition: 0.000 eV/atom

a b c (Å): 6.5092 6.5092 5.3463
angles (deg): 105.26 105.26 84.57
With the nearest neighbours (Å) after each atom.
Fractional positions:
Cr: 0.1010 0.8990 0.7500  4 O 1.86-1.95
Cr: 0.8990 0.1010 0.2500  4 O 1.86-1.95
Si: 0.2165 0.3871 0.7440  4 O 1.62-1.68
Si: 0.3871 0.2165 0.2440  4 O 1.62-1.68
Si: 0.6129 0.7835 0.7560  4 O 1.62-1.68
Si: 0.7835 0.6129 0.2560  4 O 1.62-1.68
O: 0.0471 0.1842 0.6269  1 Si 1.68
O: 0.0988 0.6204 0.7765  1 Si 1.62
O: 0.1842 0.0471 0.1269  1 Si 1.68
O: 0.3534 0.3670 0.0373  2 Si 1.62
O: 0.3670 0.3534 0.5373  2 Si 1.62
O: 0.3796 0.9012 0.7235  1 Si 1.62
O: 0.6204 0.0988 0.2765  1 Si 1.62
O: 0.6330 0.6466 0.4627  2 Si 1.62
O: 0.6466 0.6330 0.9627  2 Si 1.62
O: 0.8158 0.9529 0.8731  1 Si 1.68
O: 0.9012 0.3796 0.2235  1 Si 1.62
O: 0.9529 0.8158 0.3731  1 Si 1.68